# PBE-GGA Tb10Ga3Bi3, optimized geometry
# M_tot = 0.00 μB/cell
# ΔH_f (0 K) = -0.599 eV/atom
# VASP energy = -4.788 eV per atom
data_Tb10Ga3Bi3
_symmetry_space_group_name_H-M 'P -6 2 m'
_symmetry_Int_Tables_number 189
_symmetry_space_group_name_Hall 'P -6 -2'
_cell_length_a 8.9088
_cell_length_b 8.9088
_cell_length_c 6.5957
_cell_angle_alpha 90.00
_cell_angle_beta 90.00
_cell_angle_gamma 120.00
loop_
_atom_site_label
_atom_site_type_symbol
_atom_site_fract_x
_atom_site_fract_y
_atom_site_fract_z
Tb1 Tb 0.0000 0.2362 0.0000
Tb2 Tb 0.0000 0.7621 0.5000
Tb3 Tb 0.3333 0.6667 0.2634
Ga1 Ga 0.0000 0.3937 0.5000
Bi1 Bi 0.0000 0.6015 0.0000

***

# PBE-GGA CaBeTl2, optimized geometry
# M_tot = 0.00 μB/cell
# ΔE to the lowest computed polymorph = 107 meV/atom
# ΔH_f (0 K) = 0.174 eV/atom
# VASP energy = -2.442 eV per atom
data_CaBeTl2
_symmetry_space_group_name_H-M 'P 1 m 1'
_symmetry_Int_Tables_number 6
_cell_length_a 3.924
_cell_length_b 4.480
_cell_length_c 6.094
_cell_angle_alpha 90.00
_cell_angle_beta 108.37
_cell_angle_gamma 90.00
loop_
_symmetry_equiv_pos_as_xyz
'x,y,z'
'x,-y,z'
loop_
_atom_site_label
_atom_site_type_symbol
_atom_site_fract_x
_atom_site_fract_y
_atom_site_fract_z
Ca1 Ca 0.000 0.000 0.000
Be1 Be 0.388 0.500 0.775
Tl1 Tl 0.286 0.000 0.563
Tl2 Tl 0.662 0.500 0.318

***

# PBE-GGA Ac3LaPr2Y6, optimized geometry
# M_tot = 0.00 μB/cell
# ΔH_f (0 K) = 0.029 eV/atom
# VASP energy = -5.438 eV per atom
data_Ac3LaPr2Y6
_symmetry_space_group_name_H-M 'C 1 2/m 1'
_symmetry_Int_Tables_number 12
_cell_length_a 6.486
_cell_length_b 11.232
_cell_length_c 12.050
_cell_angle_alpha 90.00
_cell_angle_beta 100.33
_cell_angle_gamma 90.00
loop_
_symmetry_equiv_pos_as_xyz
'x,y,z'
'-x,-y,-z'
'-x,y,-z'
'x,-y,z'
'x+1/2,y+1/2,z'
'-x+1/2,-y+1/2,-z'
'-x+1/2,y+1/2,-z'
'x+1/2,-y+1/2,z'
loop_
_atom_site_label
_atom_site_type_symbol
_atom_site_fract_x
_atom_site_fract_y
_atom_site_fract_z
Ac1 Ac 0.000 0.000 0.000
Ac2 Ac 0.000 0.333 0.000
La1 La 0.000 0.500 0.500
Pr1 Pr 0.000 0.167 0.500
Y1 Y 0.247 0.000 0.745
Y2 Y 0.249 0.333 0.745

***

# PBE-GGA Mg2Tl4Hg5, optimized geometry
# M_tot = 0.00 μB/cell
# ΔH_f (0 K) = -0.052 eV/atom
# VASP energy = -1.340 eV per atom
data_Mg2Tl4Hg5
_symmetry_space_group_name_H-M 'I b a m'
_symmetry_Int_Tables_number 72
_symmetry_space_group_name_Hall '-I 2 2c'
_cell_length_a 9.507
_cell_length_b 20.071
_cell_length_c 6.231
_cell_angle_alpha 90.00
_cell_angle_beta 90.00
_cell_angle_gamma 90.00
loop_
_atom_site_label
_atom_site_type_symbol
_atom_site_fract_x
_atom_site_fract_y
_atom_site_fract_z
Mg1 Mg 0.000 0.207 0.250
Tl1 Tl 0.081 0.359 0.000
Tl2 Tl 0.224 0.060 0.000
Hg1 Hg 0.000 0.500 0.250
Hg2 Hg 0.106 0.089 0.500
Hg3 Hg 0.228 0.279 0.500